A geometry-optimized Tb2Pm3ThAs6 structure, computed with GGA-PBE.

ΔE_f = -1.53 eV/atom
space-group type = C2/m, No. 12
size of the total moment = 0.0 μB/f.u.

The structure in POSCAR format:
```
Tb2Pm3ThAs6
1.0
9.172 -2.107 0.000
9.172 2.107 0.000
-1.941 0.000 8.195
Tb Pm Th As
2 3 1 6
Direct
0.168 0.168 0.336 Tb
0.832 0.832 0.664 Tb
0.167 0.167 0.831 Pm
0.500 0.500 0.500 Pm
0.833 0.833 0.169 Pm
0.500 0.500 0.000 Th
0.002 0.002 0.250 As
0.332 0.332 0.421 As
0.334 0.334 0.913 As
0.666 0.666 0.087 As
0.668 0.668 0.579 As
0.998 0.998 0.750 As
```

A geometry-optimized Zr2Be16Ir structure, computed with GGA-PBE.

ΔE_f = -0.31 eV/atom
space-group type = R3m, No. 160
size of the total moment = 0.0 μB/f.u.

The structure in POSCAR format:
```
Zr2Be16Ir
1.0
3.830 2.211 3.710
-3.830 2.211 3.710
0.000 -4.422 3.710
Zr Be Ir
2 16 1
Direct
0.000 0.000 0.000 Zr
0.316 0.316 0.316 Zr
0.002 0.002 0.500 Be
0.002 0.500 0.002 Be
0.159 0.657 0.657 Be
0.314 0.314 0.816 Be
0.314 0.816 0.314 Be
0.375 0.660 0.944 Be
0.375 0.944 0.660 Be
0.500 0.002 0.002 Be
0.550 0.550 0.550 Be
0.657 0.159 0.657 Be
0.657 0.657 0.159 Be
0.660 0.375 0.944 Be
0.660 0.944 0.375 Be
0.816 0.314 0.314 Be
0.944 0.375 0.660 Be
0.944 0.660 0.375 Be
0.753 0.753 0.753 Ir
```

A geometry-optimized LaUS4 structure, computed with GGA-PBE.

space-group type = C2/m, No. 12
size of the total moment = 1.0 μB/f.u.
total energy = -7.06 eV/atom

The structure in POSCAR format:
```
LaUS4
1.0
3.266 -3.266 0.000
3.266 3.266 0.000
-0.011 0.000 6.687
La U S
1 1 4
Direct
0.000 0.000 0.000 La
0.500 0.500 0.500 U
0.000 0.500 0.270 S
0.000 0.500 0.730 S
0.500 0.000 0.270 S
0.500 0.000 0.730 S
```

Q: Number 2 is which compound?
A: Zr2Be16Ir

What did the second record say?
A geometry-optimized Zr2Be16Ir structure, computed with GGA-PBE.

ΔE_f = -0.31 eV/atom
space-group type = R3m, No. 160
size of the total moment = 0.0 μB/f.u.

The structure in POSCAR format:
```
Zr2Be16Ir
1.0
3.830 2.211 3.710
-3.830 2.211 3.710
0.000 -4.422 3.710
Zr Be Ir
2 16 1
Direct
0.000 0.000 0.000 Zr
0.316 0.316 0.316 Zr
0.002 0.002 0.500 Be
0.002 0.500 0.002 Be
0.159 0.657 0.657 Be
0.314 0.314 0.816 Be
0.314 0.816 0.314 Be
0.375 0.660 0.944 Be
0.375 0.944 0.660 Be
0.500 0.002 0.002 Be
0.550 0.550 0.550 Be
0.657 0.159 0.657 Be
0.657 0.657 0.159 Be
0.660 0.375 0.944 Be
0.660 0.944 0.375 Be
0.816 0.314 0.314 Be
0.944 0.375 0.660 Be
0.944 0.660 0.375 Be
0.753 0.753 0.753 Ir
```